# 1
DFT (GGA-PBE) results for an optimized crystal structure of AgAs2.

Computed properties:
theoretical density: 6.7 g/cm3
size of the total moment: 0.00 μB/f.u.
energy of formation: 240 meV/atom
symmetry: Cm

Unit cell a=6.617 b=6.617 c=9.023 alpha=132.15 beta=132.15 gamma=26.58
Element x y z (fractional)
Ag (0.000, 0.000, 0.000)
Ag (0.242, 0.242, 0.649)
As (0.288, 0.288, 0.983)
As (0.554, 0.554, 0.784)
As (0.693, 0.693, 0.352)
As (0.934, 0.934, 0.460)

# 2
DFT (GGA-PBE) results for an optimized crystal structure of YMg12Rh6.

Computed properties:
theoretical density: 4.4 g/cm3
size of the total moment: 0.00 μB/f.u.
energy of formation: -236 meV/atom
symmetry: R-3m

Unit cell a=7.471 b=7.471 c=7.471 alpha=103.88 beta=103.88 gamma=103.88
Element x y z (fractional)
Y (0.000, 0.000, 0.000)
Mg (0.119, 0.500, 0.881)
Mg (0.119, 0.881, 0.500)
Mg (0.170, 0.437, 0.437)
Mg (0.437, 0.170, 0.437)
Mg (0.437, 0.437, 0.170)
Mg (0.500, 0.119, 0.881)
Mg (0.500, 0.881, 0.119)
Mg (0.563, 0.563, 0.830)
Mg (0.563, 0.830, 0.563)
Mg (0.830, 0.563, 0.563)
Mg (0.881, 0.119, 0.500)
Mg (0.881, 0.500, 0.119)
Rh (0.251, 0.251, 0.702)
Rh (0.251, 0.702, 0.251)
Rh (0.298, 0.749, 0.749)
Rh (0.702, 0.251, 0.251)
Rh (0.749, 0.298, 0.749)
Rh (0.749, 0.749, 0.298)